Material: BeNbTe2I
Method: DFT, PBE
State: optimized geometry

POSCAR file:
```
BeNbTe2I
1.0
-0.0582 -3.6644 3.9633
4.6859 1.9330 1.8560
-2.8477 3.6781 3.3589
Nb Te I Be
1 2 1 1
direct
0.0000 0.0000 0.0000
0.5000 0.0000 0.0000
0.0000 0.5000 0.0000
0.0000 0.0000 0.5000
0.5000 0.5000 0.5000
```

Output
symmetry	No. 123
ΔE to the lowest computed polymorph	0	meV/atom
uncorrected formation energy	634.7	meV/atom
spin magnetization	0.00	μB/cell

Material: BeNbWI
Method: DFT, PBE
State: optimized geometry

POSCAR file:
```
BeNbWI
1.0
4.9175 0.0000 0.0163
0.0000 3.4147 0.0000
-4.1709 0.0000 8.0708
Nb Be I W
2 2 2 2
direct
0.5525 0.0000 0.7463
0.5525 0.5000 0.2463
0.6511 0.5000 0.9636
0.6511 0.0000 0.4636
0.1901 0.5000 0.4300
0.1901 0.0000 0.9300
0.9457 0.5000 0.6436
0.9457 0.0000 0.1436
```

Output
symmetry	No. 8
ΔE to the lowest computed polymorph	373	meV/atom
uncorrected formation energy	773.8	meV/atom
spin magnetization	0.00	μB/cell

Material: BeNbWI
Method: DFT, PBE
State: optimized geometry

POSCAR file:
```
BeNbWI
1.0
3.4506 0.0000 0.0010
0.0000 3.4181 0.0000
-0.0345 0.0000 6.6325
Nb I Be W
1 1 1 1
direct
0.1250 0.5000 0.5285
0.6299 0.5000 0.0972
0.6240 0.0000 0.3766
0.6276 0.0000 0.7240
```

Output
symmetry	No. 6
ΔE to the lowest computed polymorph	185	meV/atom
uncorrected formation energy	585.6	meV/atom
spin magnetization	0.00	μB/cell

Material: BeNbWI
Method: DFT, PBE
State: optimized geometry

POSCAR file:
```
BeNbWI
1.0
-3.5737 -1.4509 -0.4453
2.8626 -1.1291 -2.3676
4.4231 -14.6854 12.3514
W Nb Be I
3 3 3 3
direct
0.3333 0.6667 0.5511
0.6667 0.3333 0.2178
0.0000 0.0000 0.8845
0.3333 0.6667 0.1382
0.6667 0.3333 0.8049
0.0000 0.0000 0.4715
0.6667 0.3333 0.5247
0.3333 0.6667 0.8580
0.0000 0.0000 0.1913
0.3333 0.6667 0.6947
0.0000 0.0000 0.0281
0.6667 0.3333 0.3614
```

Output
symmetry	No. 160
ΔE to the lowest computed polymorph	6	meV/atom
uncorrected formation energy	406.4	meV/atom
spin magnetization	0.00	μB/cell

Material: BeNbWI
Method: DFT, PBE
State: optimized geometry

POSCAR file:
```
BeNbWI
1.0
3.4570 0.0000 0.0000
0.0000 3.4278 0.0000
0.0000 0.0000 13.0970
W I Be Nb
2 2 2 2
direct
0.5000 0.0000 0.4896
0.0000 0.5000 0.9896
0.5000 0.5000 0.3071
0.0000 0.0000 0.8071
0.5000 0.0000 0.6707
0.0000 0.5000 0.1707
0.0000 0.5000 0.5840
0.5000 0.0000 0.0840
```

Output
symmetry	No. 44
ΔE to the lowest computed polymorph	133	meV/atom
uncorrected formation energy	533.1	meV/atom
spin magnetization	0.00	μB/cell

Material: BeNbWI
Method: DFT, PBE
State: optimized geometry

POSCAR file:
```
BeNbWI
1.0
-0.0533 -1.4974 -3.5924
2.9325 -0.8431 2.4166
-3.2949 -5.1578 2.1987
W Nb Be I
1 1 1 1
direct
0.0000 0.0000 0.2154
0.6667 0.3333 0.4559
0.3333 0.6667 0.2940
0.0000 0.0000 0.7828
```

Output
symmetry	No. 156
ΔE to the lowest computed polymorph	0	meV/atom
uncorrected formation energy	400.5	meV/atom
spin magnetization	0.00	μB/cell

Material: BeNbWI
Method: DFT, PBE
State: optimized geometry

POSCAR file:
```
BeNbWI
1.0
3.3960 0.0000 -0.0006
0.0000 3.3781 0.0000
-0.0403 0.0000 6.2646
W Be I Nb
1 1 1 1
direct
0.6548 0.5000 0.1088
0.6842 0.5000 0.4908
0.2699 0.0000 0.8052
0.1898 0.0000 0.3434
```

Output
symmetry	No. 6
ΔE to the lowest computed polymorph	188	meV/atom
uncorrected formation energy	588.2	meV/atom
spin magnetization	0.00	μB/cell

Material: BeNbWI
Method: DFT, PBE
State: optimized geometry

POSCAR file:
```
BeNbWI
1.0
-3.0337 -1.0215 -0.8708
0.3303 -2.6677 1.9785
-2.4027 3.3169 4.8733
Nb Be W I
1 1 1 1
direct
0.0395 0.0000 0.5219
0.0938 0.0000 0.1372
0.5979 0.5000 0.2680
0.5711 0.5000 0.8211
```

Output
symmetry	No. 6
ΔE to the lowest computed polymorph	23	meV/atom
uncorrected formation energy	423.5	meV/atom
spin magnetization	0.00	μB/cell

Material: BeNbWI
Method: DFT, PBE
State: optimized geometry

POSCAR file:
```
BeNbWI
1.0
3.2862 0.0036 -0.0061
-0.0056 3.3786 -0.0017
-0.0452 -1.6724 6.8871
W I Be Nb
1 1 1 1
direct
0.5546 0.7540 0.3592
0.4642 0.9641 0.7822
0.0599 0.3135 0.4801
0.9455 0.1382 0.1267
```

Output
symmetry	No. 1
ΔE to the lowest computed polymorph	34	meV/atom
uncorrected formation energy	434.9	meV/atom
spin magnetization	0.00	μB/cell

Material: BeNbWI
Method: DFT, PBE
State: optimized geometry

POSCAR file:
```
BeNbWI
1.0
3.5063 0.0000 0.0758
0.0000 3.6950 0.0000
-1.6161 0.0000 5.9042
I Be W Nb
1 1 1 1
direct
0.2888 0.0000 0.3758
0.6340 0.0000 0.8155
0.7298 0.5000 0.0520
0.0955 0.5000 0.7326
```

Output
symmetry	No. 6
ΔE to the lowest computed polymorph	291	meV/atom
uncorrected formation energy	691.6	meV/atom
spin magnetization	0.00	μB/cell

Material: BeNbWI
Method: DFT, PBE
State: optimized geometry

POSCAR file:
```
BeNbWI
1.0
-0.0803 0.8853 5.0450
0.6725 -3.1946 0.5713
8.0410 0.7823 -5.0907
W Nb Be I
2 2 2 2
direct
0.0230 0.0000 0.1115
0.0230 0.5000 0.6115
0.4072 0.5000 0.9954
0.4072 0.0000 0.4954
0.4143 0.0000 0.7897
0.4143 0.5000 0.2897
0.9037 0.0000 0.8042
0.9037 0.5000 0.3042
```

Output
symmetry	No. 8
ΔE to the lowest computed polymorph	434	meV/atom
uncorrected formation energy	834.2	meV/atom
spin magnetization	0.00	μB/cell

Material: BeNbWI
Method: DFT, PBE
State: optimized geometry

POSCAR file:
```
BeNbWI
1.0
-1.2368 1.9986 -2.9102
-3.6727 0.4921 -0.5053
-1.8101 4.9947 4.1957
Be W I Nb
1 1 1 1
direct
0.3001 0.4408 0.2989
0.5938 0.8536 0.1794
0.8025 0.4323 0.8165
0.0180 0.0047 0.4533
```

Output
symmetry	No. 1
ΔE to the lowest computed polymorph	45	meV/atom
uncorrected formation energy	445.1	meV/atom
spin magnetization	0.00	μB/cell